Entry from Alexandria via LeMat-Bulk: an optimized crystal structure of VCr3Ni12 (PBE-GGA).

abc: 3.555 3.555 14.243
angles: 90.00 90.00 90.00
Fractional coordinates of all 16 atoms:
V 0.000 0.000 0.000
Cr 0.000 0.000 0.252
Cr 0.000 0.000 0.500
Cr 0.000 0.000 0.748
Ni 0.500 0.500 0.000
Ni 0.500 0.500 0.249
Ni 0.500 0.500 0.500
Ni 0.500 0.500 0.751
Ni 0.500 0.000 0.123
Ni 0.500 0.000 0.375
Ni 0.500 0.000 0.625
Ni 0.500 0.000 0.877
Ni 0.000 0.500 0.123
Ni 0.000 0.500 0.375
Ni 0.000 0.500 0.625
Ni 0.000 0.500 0.877

Output
As for the raw total energy: -6.770 eV per atom. For the size of the total moment, the calculation gives 0.475 μB/atom. As for the energy of formation: -0.06 eV/atom.

Entry from Alexandria via LeMat-Bulk: an optimized crystal structure of ThCdGaPd (PBE-GGA).

abc: 4.960 4.960 4.960
angles: 60.00 60.00 60.00
Fractional coordinates of all 4 atoms:
Ga 0.000 0.000 0.000
Pd 0.500 0.500 0.500
Th 0.250 0.250 0.250
Cd 0.750 0.750 0.750

Output
As for the raw total energy: -4.637 eV per atom. For the size of the total moment, the calculation gives 0.000 μB/atom. As for the energy of formation: -0.50 eV/atom.

Entry from Alexandria via LeMat-Bulk: an optimized crystal structure of NdSm8Tm2 (PBE-GGA).

abc: 9.069 10.318 10.318
angles: 40.19 41.25 41.25
Fractional coordinates of all 11 atoms:
Nd 0.000 0.000 0.000
Sm 0.213 0.332 0.782
Sm 0.787 0.218 0.668
Sm 0.244 0.707 0.707
Sm 0.756 0.293 0.293
Sm 0.213 0.782 0.332
Sm 0.787 0.668 0.218
Sm 0.692 0.656 0.656
Sm 0.308 0.344 0.344
Tm 0.687 0.832 0.832
Tm 0.313 0.168 0.168

Output
As for the raw total energy: -4.535 eV per atom. For the size of the total moment, the calculation gives 0.000 μB/atom. As for the energy of formation: 0.14 eV/atom. The polymorph energy (0 for the lowest one) is 0 meV/atom.

Entry from Alexandria via LeMat-Bulk: an optimized crystal structure of SrZrTa2 (PBE-GGA).

abc: 3.467 3.467 8.561
angles: 90.00 90.00 90.00
Fractional coordinates of all 4 atoms:
Sr 0.500 0.500 0.777
Ta 0.000 0.000 0.075
Ta 0.500 0.500 0.227
Zr 0.000 0.000 0.422

Output
As for the raw total energy: -8.071 eV per atom. For the size of the total moment, the calculation gives 0.000 μB/atom. As for the energy of formation: 0.41 eV/atom. The polymorph energy (0 for the lowest one) is 0 meV/atom.

Entry from Alexandria via LeMat-Bulk: an optimized crystal structure of SmHo3Er6Tm2 (PBE-GGA).

abc: 6.085 6.085 11.654
angles: 94.98 94.98 119.93
Fractional coordinates of all 12 atoms:
Sm 0.000 0.000 0.000
Ho 0.167 0.833 0.500
Ho 0.833 0.167 0.500
Ho 0.500 0.500 0.500
Er 0.916 0.582 0.750
Er 0.750 0.750 0.250
Er 0.084 0.418 0.250
Er 0.582 0.916 0.750
Er 0.250 0.250 0.750
Er 0.418 0.084 0.250
Tm 0.333 0.667 0.000
Tm 0.667 0.333 0.000

Output
As for the raw total energy: -4.543 eV per atom. For the size of the total moment, the calculation gives 0.000 μB/atom. As for the energy of formation: 0.02 eV/atom.

Entry from Alexandria via LeMat-Bulk: an optimized crystal structure of Rb2GeSCl6 (PBE-GGA).

abc: 7.801 7.801 7.149
angles: 56.93 56.93 90.00
Fractional coordinates of all 10 atoms:
Ge 0.000 0.000 0.000
S 0.500 0.500 0.000
Rb 0.750 0.250 0.500
Rb 0.250 0.750 0.500
Cl 0.257 0.257 0.487
Cl 0.743 0.743 0.513
Cl 0.221 0.221 0.000
Cl 0.779 0.779 0.000
Cl 0.779 0.221 0.000
Cl 0.221 0.779 0.000

Output
As for the raw total energy: -3.111 eV per atom. For the size of the total moment, the calculation gives 0.002 μB/atom. The value obtained for the formation energy from raw total energies is -21.561 kcal/mol of atoms.

Entry from Alexandria via LeMat-Bulk: an optimized crystal structure of Cu2SbAs (PBE-GGA).

abc: 4.632 4.632 4.632
angles: 60.00 60.00 60.00
Fractional coordinates of all 4 atoms:
Sb 0.500 0.500 0.500
As 0.000 0.000 0.000
Cu 0.250 0.250 0.250
Cu 0.750 0.750 0.750

Output
As for the raw total energy: -3.933 eV per atom. For the size of the total moment, the calculation gives 0.000 μB/atom. The value obtained for the formation energy from raw total energies is 7.110 kcal/mol of atoms. The polymorph energy (0 for the lowest one) is 234 meV/atom.

Entry from Alexandria via LeMat-Bulk: an optimized crystal structure of DyFe2B4 (PBE-GGA).

abc: 3.062 3.271 7.277
angles: 102.99 102.15 90.00
Fractional coordinates of all 7 atoms:
B 0.658 0.658 0.316
B 0.342 0.342 0.684
B 0.103 0.603 0.207
B 0.897 0.397 0.793
Fe 0.807 0.807 0.615
Fe 0.193 0.193 0.385
Dy 0.500 0.000 0.000

Output
As for the raw total energy: -7.221 eV per atom. For the size of the total moment, the calculation gives 0.354 μB/atom. As for the energy of formation: -0.33 eV/atom.

Entry from Alexandria via LeMat-Bulk: an optimized crystal structure of TlCuNi2Bi (PBE-GGA).

abc: 4.798 4.794 4.798
angles: 90.00 90.00 90.00
Fractional coordinates of all 5 atoms:
Ni 0.000 0.000 0.500
Ni 0.500 0.000 0.000
Tl 0.000 0.000 0.000
Bi 0.500 0.500 0.500
Cu 0.000 0.500 0.000

Output
As for the raw total energy: -3.452 eV per atom. For the size of the total moment, the calculation gives 0.000 μB/atom. As for the energy of formation: 0.93 eV/atom.

Entry from Alexandria via LeMat-Bulk: an optimized crystal structure of SmDyHo3Th (PBE-GGA).

abc: 3.564 10.654 10.637
angles: 109.19 90.00 90.00
Fractional coordinates of all 12 atoms:
Sm 0.250 0.125 0.291
Sm 0.750 0.875 0.709
Dy 0.250 0.129 0.627
Dy 0.750 0.871 0.373
Ho 0.750 0.871 0.042
Ho 0.250 0.129 0.958
Ho 0.250 0.625 0.457
Ho 0.750 0.375 0.543
Ho 0.750 0.379 0.206
Ho 0.250 0.621 0.794
Th 0.250 0.625 0.123
Th 0.750 0.375 0.877

Output
As for the raw total energy: -5.057 eV per atom. For the size of the total moment, the calculation gives 0.000 μB/atom. As for the energy of formation: 0.02 eV/atom.

Entry from Alexandria via LeMat-Bulk: an optimized crystal structure of NbS2ClF (PBE-GGA).

abc: 4.748 4.881 4.748
angles: 90.00 90.00 90.00
Fractional coordinates of all 5 atoms:
Nb 0.000 0.000 0.000
F 0.500 0.500 0.500
S 0.000 0.000 0.500
S 0.500 0.000 0.000
Cl 0.000 0.500 0.000

Output
As for the raw total energy: -4.908 eV per atom. For the size of the total moment, the calculation gives 0.139 μB/atom. The value obtained for the formation energy from raw total energies is -11.522 kcal/mol of atoms. The polymorph energy (0 for the lowest one) is 0 meV/atom.

Entry from Alexandria via LeMat-Bulk: an optimized crystal structure of PtRh2Cl (PBE-GGA).

abc: 4.444 4.444 4.444
angles: 60.00 60.00 60.00
Fractional coordinates of all 4 atoms:
Rh 0.250 0.250 0.250
Rh 0.750 0.750 0.750
Pt 0.500 0.500 0.500
Cl 0.000 0.000 0.000

Output
As for the raw total energy: -5.042 eV per atom. For the size of the total moment, the calculation gives 0.247 μB/atom. The value obtained for the formation energy from raw total energies is 13.969 kcal/mol of atoms. The polymorph energy (0 for the lowest one) is 397 meV/atom.